Entry 1:
# TbGa2Co2Si (PBE, relaxed)
data_TbGa2Co2Si
_cell_length_a 4.239
_cell_length_b 4.239
_cell_length_c 5.527
_cell_angle_alpha 90.00
_cell_angle_beta 90.00
_cell_angle_gamma 90.00
_symmetry_space_group_name_H-M 'P 1'
_symmetry_Int_Tables_number 1
_symmetry_space_group_name_Hall 'P 1'
loop_
_atom_site_label
_atom_site_fract_x
_atom_site_fract_y
_atom_site_fract_z
Tb1 0.000 0.000 0.500
Ga1 0.500 0.500 0.738
Ga2 0.500 0.500 0.262
Co1 0.500 0.000 0.000
Co2 0.000 0.500 0.000
Si1 0.000 0.000 0.000
# ΔE_f (raw) = -346 meV per atom


Entry 2:
# GaCoSiTc (PBE, relaxed)
data_GaCoSiTc
_cell_length_a 4.146
_cell_length_b 4.146
_cell_length_c 4.146
_cell_angle_alpha 60.00
_cell_angle_beta 60.00
_cell_angle_gamma 60.00
_symmetry_space_group_name_H-M 'P 1'
_symmetry_Int_Tables_number 1
_symmetry_space_group_name_Hall 'P 1'
loop_
_atom_site_label
_atom_site_fract_x
_atom_site_fract_y
_atom_site_fract_z
Si1 0.750 0.750 0.750
Co1 0.500 0.500 0.500
Tc1 0.000 0.000 0.000
Ga1 0.250 0.250 0.250
# ΔE_f (raw) = -280 meV per atom


Entry 3:
# ThGa2Co2Si (PBE, relaxed)
data_ThGa2Co2Si
_cell_length_a 4.269
_cell_length_b 4.269
_cell_length_c 5.641
_cell_angle_alpha 90.00
_cell_angle_beta 90.00
_cell_angle_gamma 90.00
_symmetry_space_group_name_H-M 'P 1'
_symmetry_Int_Tables_number 1
_symmetry_space_group_name_Hall 'P 1'
loop_
_atom_site_label
_atom_site_fract_x
_atom_site_fract_y
_atom_site_fract_z
Th1 0.000 0.000 0.500
Ga1 0.500 0.500 0.743
Ga2 0.500 0.500 0.257
Co1 0.500 0.000 0.000
Co2 0.000 0.500 0.000
Si1 0.000 0.000 0.000
# ΔE_f (raw) = -322 meV per atom


Entry 4:
# ThGa2Co4Si (PBE, relaxed)
data_ThGa2Co4Si
_cell_length_a 3.998
_cell_length_b 3.998
_cell_length_c 8.533
_cell_angle_alpha 76.45
_cell_angle_beta 76.45
_cell_angle_gamma 60.00
_symmetry_space_group_name_H-M 'P 1'
_symmetry_Int_Tables_number 1
_symmetry_space_group_name_Hall 'P 1'
loop_
_atom_site_label
_atom_site_fract_x
_atom_site_fract_y
_atom_site_fract_z
Th1 0.000 0.000 0.000
Ga1 0.761 0.761 0.718
Ga2 0.239 0.239 0.282
Co1 0.407 0.407 0.779
Co2 0.864 0.864 0.408
Co3 0.136 0.136 0.592
Co4 0.593 0.593 0.221
Si1 0.500 0.500 0.500
# ΔE_f (raw) = -416 meV per atom


Entry 5:
# ThGaCo3Si (PBE, relaxed)
data_ThGaCo3Si
_cell_length_a 5.327
_cell_length_b 5.321
_cell_length_c 7.654
_cell_angle_alpha 110.34
_cell_angle_beta 90.00
_cell_angle_gamma 90.00
_symmetry_space_group_name_H-M 'P 1'
_symmetry_Int_Tables_number 1
_symmetry_space_group_name_Hall 'P 1'
loop_
_atom_site_label
_atom_site_fract_x
_atom_site_fract_y
_atom_site_fract_z
Th1 0.750 0.250 0.499
Th2 0.250 0.750 0.501
Ga1 0.250 0.098 0.196
Ga2 0.750 0.902 0.804
Co1 0.250 0.259 0.519
Co2 0.000 0.252 0.000
Co3 0.500 0.748 0.000
Co4 0.500 0.252 0.000
Co5 0.000 0.748 0.000
Co6 0.750 0.741 0.481
Si1 0.250 0.414 0.829
Si2 0.750 0.586 0.171
# ΔE_f (raw) = -264 meV per atom


Entry 6:
# Ti2GaCo2Si2 (PBE, relaxed)
data_Ti2GaCo2Si2
_cell_length_a 4.108
_cell_length_b 4.108
_cell_length_c 7.128
_cell_angle_alpha 106.75
_cell_angle_beta 106.75
_cell_angle_gamma 90.00
_symmetry_space_group_name_H-M 'P 1'
_symmetry_Int_Tables_number 1
_symmetry_space_group_name_Hall 'P 1'
loop_
_atom_site_label
_atom_site_fract_x
_atom_site_fract_y
_atom_site_fract_z
Ti1 0.192 0.192 0.383
Ti2 0.808 0.808 0.617
Ga1 0.000 0.000 0.000
Co1 0.000 0.500 0.000
Co2 0.500 0.000 0.000
Si1 0.388 0.388 0.776
Si2 0.612 0.612 0.224
# ΔE_f (raw) = 201 meV per atom


Entry 7:
# TiGaCo2Si (PBE, relaxed)
data_TiGaCo2Si
_cell_length_a 4.254
_cell_length_b 4.906
_cell_length_c 4.254
_cell_angle_alpha 90.00
_cell_angle_beta 90.00
_cell_angle_gamma 90.00
_symmetry_space_group_name_H-M 'P 1'
_symmetry_Int_Tables_number 1
_symmetry_space_group_name_Hall 'P 1'
loop_
_atom_site_label
_atom_site_fract_x
_atom_site_fract_y
_atom_site_fract_z
Si1 0.500 0.500 0.500
Co1 0.000 0.000 0.500
Co2 0.500 0.000 0.000
Ga1 0.000 0.500 0.000
Ti1 0.000 0.000 0.000
# ΔE_f (raw) = 1112 meV per atom


Entry 8:
# Ti2GaCo5Si2 (PBE, relaxed)
data_Ti2GaCo5Si2
_cell_length_a 3.312
_cell_length_b 8.666
_cell_length_c 8.666
_cell_angle_alpha 90.00
_cell_angle_beta 90.00
_cell_angle_gamma 90.00
_symmetry_space_group_name_H-M 'P 1'
_symmetry_Int_Tables_number 1
_symmetry_space_group_name_Hall 'P 1'
loop_
_atom_site_label
_atom_site_fract_x
_atom_site_fract_y
_atom_site_fract_z
Ti1 0.000 0.675 0.175
Ti2 0.000 0.325 0.825
Ti3 0.000 0.175 0.325
Ti4 0.000 0.825 0.675
Ga1 0.000 0.000 0.000
Ga2 0.000 0.500 0.500
Co1 0.500 0.210 0.068
Co2 0.500 0.790 0.932
Co3 0.500 0.068 0.790
Co4 0.500 0.710 0.432
Co5 0.500 0.932 0.210
Co6 0.500 0.290 0.568
Co7 0.500 0.568 0.710
Co8 0.500 0.432 0.290
Co9 0.500 0.500 0.000
Co10 0.500 0.000 0.500
Si1 0.000 0.122 0.622
Si2 0.000 0.878 0.378
Si3 0.000 0.622 0.878
Si4 0.000 0.378 0.122
# ΔE_f (raw) = -476 meV per atom


Entry 9:
# Ti8GaCo4Si3 (PBE, relaxed)
data_Ti8GaCo4Si3
_cell_length_a 14.156
_cell_length_b 14.156
_cell_length_c 14.156
_cell_angle_alpha 17.37
_cell_angle_beta 17.37
_cell_angle_gamma 17.37
_symmetry_space_group_name_H-M 'P 1'
_symmetry_Int_Tables_number 1
_symmetry_space_group_name_Hall 'P 1'
loop_
_atom_site_label
_atom_site_fract_x
_atom_site_fract_y
_atom_site_fract_z
Ti1 0.500 0.500 0.500
Ti2 0.249 0.249 0.249
Ti3 0.999 0.999 0.999
Ti4 0.751 0.751 0.751
Ti5 0.562 0.562 0.562
Ti6 0.312 0.312 0.312
Ti7 0.063 0.063 0.063
Ti8 0.813 0.813 0.813
Ga1 0.688 0.688 0.688
Co1 0.377 0.377 0.377
Co2 0.125 0.125 0.125
Co3 0.875 0.875 0.875
Co4 0.623 0.623 0.623
Si1 0.438 0.438 0.438
Si2 0.187 0.187 0.187
Si3 0.937 0.937 0.937
# ΔE_f (raw) = -337 meV per atom


Entry 10:
# TmGa2Co2Si (PBE, relaxed)
data_TmGa2Co2Si
_cell_length_a 4.229
_cell_length_b 4.229
_cell_length_c 5.459
_cell_angle_alpha 90.00
_cell_angle_beta 90.00
_cell_angle_gamma 90.00
_symmetry_space_group_name_H-M 'P 1'
_symmetry_Int_Tables_number 1
_symmetry_space_group_name_Hall 'P 1'
loop_
_atom_site_label
_atom_site_fract_x
_atom_site_fract_y
_atom_site_fract_z
Tm1 0.000 0.000 0.500
Ga1 0.500 0.500 0.737
Ga2 0.500 0.500 0.263
Co1 0.500 0.000 0.000
Co2 0.000 0.500 0.000
Si1 0.000 0.000 0.000
# ΔE_f (raw) = -310 meV per atom


Entry 11:
# UGaCoSi (PBE, relaxed)
data_UGaCoSi
_cell_length_a 2.895
_cell_length_b 2.891
_cell_length_c 9.161
_cell_angle_alpha 98.96
_cell_angle_beta 90.00
_cell_angle_gamma 120.05
_symmetry_space_group_name_H-M 'P 1'
_symmetry_Int_Tables_number 1
_symmetry_space_group_name_Hall 'P 1'
loop_
_atom_site_label
_atom_site_fract_x
_atom_site_fract_y
_atom_site_fract_z
U1 0.927 0.854 0.669
Ga1 0.689 0.378 0.956
Co1 0.501 0.003 0.401
Si1 0.779 0.557 0.230
# ΔE_f (raw) = 5 meV per atom


Entry 12:
# UGa2Co4Si (PBE, relaxed)
data_UGa2Co4Si
_cell_length_a 3.962
_cell_length_b 3.962
_cell_length_c 8.186
_cell_angle_alpha 76.00
_cell_angle_beta 76.00
_cell_angle_gamma 60.00
_symmetry_space_group_name_H-M 'P 1'
_symmetry_Int_Tables_number 1
_symmetry_space_group_name_Hall 'P 1'
loop_
_atom_site_label
_atom_site_fract_x
_atom_site_fract_y
_atom_site_fract_z
U1 0.000 0.000 0.000
Ga1 0.757 0.757 0.728
Ga2 0.243 0.243 0.272
Co1 0.400 0.400 0.800
Co2 0.865 0.865 0.404
Co3 0.135 0.135 0.596
Co4 0.600 0.600 0.200
Si1 0.500 0.500 0.500
# ΔE_f (raw) = -313 meV per atom


Entry 13:
# UGaCo5Si2 (PBE, relaxed)
data_UGaCo5Si2
_cell_length_a 3.618
_cell_length_b 3.618
_cell_length_c 10.239
_cell_angle_alpha 90.00
_cell_angle_beta 90.00
_cell_angle_gamma 90.00
_symmetry_space_group_name_H-M 'P 1'
_symmetry_Int_Tables_number 1
_symmetry_space_group_name_Hall 'P 1'
loop_
_atom_site_label
_atom_site_fract_x
_atom_site_fract_y
_atom_site_fract_z
U1 0.000 0.000 0.500
Ga1 0.000 0.000 0.000
Co1 0.000 0.500 0.156
Co2 0.500 0.000 0.156
Co3 0.000 0.500 0.844
Co4 0.500 0.000 0.844
Co5 0.500 0.500 0.500
Si1 0.500 0.500 0.283
Si2 0.500 0.500 0.717
# ΔE_f (raw) = -52 meV per atom